# 1
Compound: LiMgAg2As2
Source: OQMD via LeMat-Bulk
Functional: GGA-PBE
Structure: optimized geometry

The structure in POSCAR format:
```
LiMgAg2As2
1.0
4.097 0.000 0.000
0.000 4.097 0.000
0.000 0.000 6.708
Li Mg Ag As
1 1 2 2
Direct
0.000 0.000 0.000
0.500 0.500 0.342
0.000 0.500 0.680
0.500 0.000 0.680
0.000 0.000 0.390
0.500 0.500 0.947
```

# 2
Compound: LiAgAsO
Source: OQMD via LeMat-Bulk
Functional: GGA-PBE
Structure: optimized geometry

Results
The value obtained for the relative energy among the computed polymorphs is 0.00 eV/f.u.

The structure in POSCAR format:
```
LiAgAsO
1.0
3.524 0.000 0.000
0.000 7.570 0.000
0.000 0.000 4.616
Li Ag As O
2 2 2 2
Direct
0.000 0.189 0.000
0.000 0.811 0.500
0.500 0.165 0.498
0.500 0.835 0.998
0.000 0.421 0.498
0.000 0.579 0.998
0.500 0.128 0.997
0.500 0.872 0.497
```

# 3
Compound: LiAgAsO
Source: OQMD via LeMat-Bulk
Functional: GGA-PBE
Structure: optimized geometry

Results
The value obtained for the relative energy among the computed polymorphs is 1.68 eV/f.u.

The structure in POSCAR format:
```
LiAgAsO
1.0
3.892 0.000 0.000
0.000 3.892 0.000
0.000 0.000 8.012
Li Ag As O
2 2 2 2
Direct
0.250 0.750 0.000
0.750 0.250 0.000
0.250 0.250 0.226
0.750 0.750 0.774
0.250 0.250 0.635
0.750 0.750 0.365
0.250 0.750 0.500
0.750 0.250 0.500
```

Computed uncorrected energy, in the same sequence as the records: -3.357, -4.068, -3.649 eV per atom.